Here is a relaxed structure of LiIN2O from Alexandria via LeMat-Bulk. Energies are from PBE.

```
LiIN2O
1.0
3.962 0.000 0.000
0.000 3.962 0.000
0.000 0.000 4.091
O N Li I
1 2 1 1
Direct
0.000 0.000 0.500
0.000 0.500 0.000
0.500 0.000 0.000
0.500 0.500 0.500
0.000 0.000 0.000
```

Computed properties:
The calculation puts the density of states at the Fermi level at 2.590 states/eV per cell. The value obtained for the formation energy without anion corrections is 1.0884 eV/atom. As for the space-group type: P4/mmm (123). Its total magnetic moment is 0.00 μB/f.u. The density comes out at 4.6 Mg/m³.